This record from the Alexandria database describes Sm4Dy5Er after structural relaxation. The functional is PBE.

Output
Total magnetic moment in μB per formula unit: 0.00
ΔE to the lowest computed polymorph in eV/atom: 0.062
N(E_F) in states/eV/atom: 1.35
Theoretical density in g/cm3: 7.83
Energy relative to the elements in eV per atom: 0.247

abc: 8.078 8.078 8.078
angles: 97.77 97.77 136.86
Fractional positions:
Sm  0.000  0.323  0.323
Sm  0.000  0.677  0.677
Sm  0.323  0.000  0.323
Sm  0.677  0.000  0.677
Dy  0.240  0.240  0.000
Dy  0.315  0.315  0.622
Dy  0.315  0.693  0.000
Dy  0.693  0.315  0.000
Dy  0.693  0.693  0.378
Er  0.766  0.766  0.000

This record from the Alexandria database describes ZrMnNi10 after structural relaxation. The functional is PBE.

Output
Total magnetic moment in μB per formula unit: 8.05
N(E_F) in states/eV/atom: 0.92
Theoretical density in g/cm3: 8.01
Energy relative to the elements in eV per atom: -0.075

abc: 3.980 4.708 8.114
angles: 90.00 90.00 90.00
Fractional positions:
Zr  0.000  0.000  0.000
Mn  0.000  0.500  0.500
Ni  0.000  0.000  0.337
Ni  0.000  0.000  0.663
Ni  0.000  0.500  0.173
Ni  0.000  0.500  0.827
Ni  0.500  0.000  0.500
Ni  0.500  0.249  0.250
Ni  0.500  0.249  0.750
Ni  0.500  0.500  0.000
Ni  0.500  0.751  0.250
Ni  0.500  0.751  0.750

This record from the Alexandria database describes FeP2Os after structural relaxation. The functional is PBE.

Output
Total magnetic moment in μB per formula unit: 2.01
ΔE to the lowest computed polymorph in eV/atom: 0.416
N(E_F) in states/eV/atom: 0.93
Theoretical density in g/cm3: 9.23
Energy relative to the elements in eV per atom: 0.164

abc: 3.280 3.833 4.429
angles: 90.00 95.37 90.00
Fractional positions:
Fe  0.000  0.000  0.000
P  0.320  0.500  0.195
P  0.680  0.500  0.805
Os  0.500  0.000  0.500

This record from the Alexandria database describes NaZn11Cu after structural relaxation. The functional is PBE.

Output
Total magnetic moment in μB per formula unit: 0.00
N(E_F) in states/eV/atom: 0.29
Theoretical density in g/cm3: 6.49
Energy relative to the elements in eV per atom: -0.029

abc: 6.812 6.812 6.717
angles: 98.32 98.32 134.48
Fractional positions:
Na  0.000  0.000  0.000
Zn  0.000  0.500  0.000
Zn  0.015  0.667  0.645
Zn  0.275  0.492  0.779
Zn  0.333  0.985  0.355
Zn  0.492  0.275  0.779
Zn  0.500  0.000  0.000
Zn  0.500  0.500  0.500
Zn  0.508  0.725  0.221
Zn  0.667  0.015  0.645
Zn  0.725  0.508  0.221
Zn  0.985  0.333  0.355
Cu  0.000  0.000  0.500

This record from the Alexandria database describes Pm14TmTl after structural relaxation. The functional is PBE.

Output
Total magnetic moment in μB per formula unit: 0.00
N(E_F) in states/eV/atom: 1.30
Theoretical density in g/cm3: 7.52
Energy relative to the elements in eV per atom: -0.024

abc: 7.192 7.192 10.265
angles: 90.00 90.00 90.00
Fractional positions:
Pm  0.000  0.000  0.000
Pm  0.000  0.500  0.000
Pm  0.000  0.500  0.500
Pm  0.250  0.250  0.254
Pm  0.250  0.250  0.746
Pm  0.250  0.750  0.254
Pm  0.250  0.750  0.746
Pm  0.500  0.000  0.000
Pm  0.500  0.000  0.500
Pm  0.500  0.500  0.000
Pm  0.750  0.250  0.254
Pm  0.750  0.250  0.746
Pm  0.750  0.750  0.254
Pm  0.750  0.750  0.746
Tm  0.000  0.000  0.500
Tl  0.500  0.500  0.500

This record from the Alexandria database describes Dy3Ga2Ge3 after structural relaxation. The functional is PBE.

Output
Total magnetic moment in μB per formula unit: 0.00
N(E_F) in states/eV/atom: 0.44
Theoretical density in g/cm3: 8.30
Energy relative to the elements in eV per atom: -0.666

abc: 5.898 5.898 14.720
angles: 90.00 90.00 138.65
Fractional positions:
Dy  0.058  0.942  0.614
Dy  0.058  0.942  0.886
Dy  0.343  0.657  0.750
Dy  0.657  0.343  0.250
Dy  0.942  0.058  0.114
Dy  0.942  0.058  0.386
Ga  0.226  0.774  0.110
Ga  0.226  0.774  0.390
Ga  0.774  0.226  0.610
Ga  0.774  0.226  0.890
Ge  0.383  0.617  0.537
Ge  0.383  0.617  0.963
Ge  0.385  0.615  0.250
Ge  0.615  0.385  0.750
Ge  0.617  0.383  0.037
Ge  0.617  0.383  0.463

This record from the Alexandria database describes CaIn3Hg7 after structural relaxation. The functional is PBE.

Output
Total magnetic moment in μB per formula unit: 0.00
ΔE to the lowest computed polymorph in eV/atom: 0.000
N(E_F) in states/eV/atom: 0.34
Theoretical density in g/cm3: 9.63
Energy relative to the elements in eV per atom: -0.085

abc: 6.840 6.840 7.112
angles: 97.05 97.05 108.57
Fractional positions:
Ca  0.000  0.000  0.000
In  0.265  0.735  0.500
In  0.500  0.500  0.000
In  0.735  0.265  0.500
Hg  0.000  0.000  0.500
Hg  0.089  0.529  0.823
Hg  0.321  0.321  0.339
Hg  0.471  0.911  0.177
Hg  0.529  0.089  0.823
Hg  0.679  0.679  0.661
Hg  0.911  0.471  0.177

This record from the Alexandria database describes MgPaCu2Si2 after structural relaxation. The functional is PBE.

Output
Total magnetic moment in μB per formula unit: 0.00
N(E_F) in states/eV/atom: 0.57
Theoretical density in g/cm3: 7.19
Final energy in eV for the cell shown: -32.37

abc: 4.094 4.094 6.975
angles: 90.00 90.00 120.00
Fractional positions:
Mg  0.000  0.000  0.000
Pa  0.000  0.000  0.500
Cu  0.333  0.667  0.212
Cu  0.667  0.333  0.788
Si  0.333  0.667  0.754
Si  0.667  0.333  0.246